The following is a DFT calculation (PBE with a Hubbard U) of a relaxed Fe2GeSF crystal.

a b c (Å): 4.418 4.437 4.418
angles (deg): 90.00 90.00 90.00
Atoms (fractional coordinates):
S (0.000, 0.000, 0.000)
Ge (0.500, 0.500, 0.500)
Fe (0.000, 0.000, 0.500)
Fe (0.500, 0.000, 0.000)
F (0.000, 0.500, 0.000)

Results
- Space group: P4/mmm (123)
- DOS(E_F): 3.50 states/eV/cell
- Calculated density: 4.5 Mg/m³
- Total energy: -19.60 eV per formula unit